This record from Alexandria describes a relaxed structure of Pr2Zn3Ga4Pt. The functional is PBE-GGA.

Calculated values
Mass density ... 8.12 g/cm³
Final energy ... -3.74 eV/atom

a = 4.276 Å, b = 4.276 Å, c = 10.649 Å
α = 90.00°, β = 90.00°, γ = 90.00°
Space group P-4m2 (No. 115)
Asymmetric unit:
Pr 0.000 0.500 0.249 [2 per cell]
Zn 0.000 0.000 0.000 [1 per cell]
Zn 0.000 0.500 0.635 [2 per cell]
Ga 0.000 0.000 0.500 [1 per cell]
Ga 0.000 0.500 0.868 [2 per cell]
Ga 0.500 0.500 0.500 [1 per cell]
Pt 0.500 0.500 0.000 [1 per cell]

=====

This record from Alexandria describes a relaxed structure of Ca2Ga9Ag6. The functional is PBE-GGA.

Calculated values
Mass density ... 6.36 g/cm³
Final energy ... -2.97 eV/atom

a = 5.4857 Å, b = 5.4857 Å, c = 13.5711 Å
α = 90.00°, β = 90.00°, γ = 120.00°
Space group P6/mmm (No. 191)
Asymmetric unit:
Ca 0.0000 0.0000 0.1690 [2 per cell]
Ga 0.0000 0.5000 0.0000 [3 per cell]
Ga 0.0000 0.5000 0.3360 [6 per cell]
Ag 0.3333 0.6667 0.1669 [4 per cell]
Ag 0.3333 0.6667 0.5000 [2 per cell]

=====

This record from Alexandria describes a relaxed structure of Nd3Cd2. The functional is PBE-GGA.

Calculated values
Mass density ... 7.26 g/cm³
Final energy ... -3.47 eV/atom
Energy relative to the lowest polymorph listed for this composition ... 0.0 meV per atom

a = 3.839 Å, b = 3.839 Å, c = 20.425 Å
α = 90.00°, β = 90.00°, γ = 90.00°
Space group P4/mmm (No. 123)
Asymmetric unit:
Nd 0.000 0.000 0.000 [1 per cell]
Nd 0.000 0.000 0.189 [2 per cell]
Nd 0.000 0.000 0.378 [2 per cell]
Nd 0.500 0.500 0.500 [1 per cell]
Cd 0.500 0.500 0.094 [2 per cell]
Cd 0.500 0.500 0.286 [2 per cell]

=====

This record from Alexandria describes a relaxed structure of TaAs2HBr. The functional is PBE-GGA.

Calculated values
Mass density ... 8.48 g/cm³
Final energy ... -4.51 eV/atom
Energy relative to the lowest polymorph listed for this composition ... 166.3 meV per atom

a = 4.002 Å, b = 4.002 Å, c = 5.033 Å
α = 90.00°, β = 90.00°, γ = 90.00°
Space group P4/mmm (No. 123)
Asymmetric unit:
Ta 0.000 0.000 0.000 [1 per cell]
As 0.000 0.500 0.500 [2 per cell]
H 0.500 0.500 0.500 [1 per cell]
Br 0.500 0.500 0.000 [1 per cell]

=====

This record from Alexandria describes a relaxed structure of ZrTa3. The functional is PBE-GGA.

Calculated values
Mass density ... 13.56 g/cm³
Final energy ... -10.92 eV/atom
Energy relative to the lowest polymorph listed for this composition ... 24.9 meV per atom

a = 6.820 Å, b = 9.545 Å, c = 4.772 Å
α = 90.00°, β = 90.00°, γ = 90.00°
Space group Cmcm (No. 63)
Asymmetric unit:
Zr 0.000 0.117 0.250 [4 per cell]
Ta 0.000 0.372 0.750 [4 per cell]
Ta 0.227 0.376 0.250 [8 per cell]

=====

This record from Alexandria describes a relaxed structure of MgBBr2. The functional is PBE-GGA.

Calculated values
Mass density ... 3.22 g/cm³
Final energy ... -2.50 eV/atom
Energy relative to the lowest polymorph listed for this composition ... 122.3 meV per atom

a = 7.513 Å, b = 7.513 Å, c = 7.134 Å
α = 90.00°, β = 90.00°, γ = 90.00°
Space group I-42d (No. 122)
Asymmetric unit:
Mg 0.000 0.000 0.000 [4 per cell]
B 0.000 0.000 0.500 [4 per cell]
Br 0.208 0.250 0.125 [8 per cell]

=====

This record from Alexandria describes a relaxed structure of Sm5Cd. The functional is PBE-GGA.

Calculated values
Mass density ... 7.53 g/cm³
Final energy ... -4.18 eV/atom
Energy relative to the lowest polymorph listed for this composition ... 0.0 meV per atom

a = 3.646 Å, b = 3.646 Å, c = 14.342 Å
α = 90.00°, β = 90.00°, γ = 90.00°
Space group P4/mmm (No. 123)
Asymmetric unit:
Sm 0.000 0.000 0.000 [1 per cell]
Sm 0.000 0.000 0.354 [2 per cell]
Sm 0.500 0.500 0.178 [2 per cell]
Cd 0.500 0.500 0.500 [1 per cell]

=====

This record from Alexandria describes a relaxed structure of BaLi2LaNi. The functional is PBE-GGA.

Calculated values
Mass density ... 3.31 g/cm³
Final energy ... -2.78 eV/atom
Energy relative to the lowest polymorph listed for this composition ... 459.2 meV per atom

a = 5.945 Å, b = 5.945 Å, c = 4.958 Å
α = 90.00°, β = 90.00°, γ = 90.00°
Space group P4/mmm (No. 123)
Asymmetric unit:
Ba 0.000 0.000 0.000 [1 per cell]
Li 0.000 0.500 0.500 [2 per cell]
La 0.500 0.500 0.500 [1 per cell]
Ni 0.500 0.500 0.000 [1 per cell]